This record from Alexandria via LeMat-Bulk describes a relaxed Mn3GaPd6 crystal. The functional is GGA-PBE.

- D(E_F): 0.322 states/eV per atom
- Volume: 302 Å³ per cell
- Total moment: 26.83 μB per cell
- Energy relative to the lowest polymorph listed for this composition: 0 meV per atom
- ΔH_f (0 K): -3.23 eV per formula unit

Structure (CIF):
```
data_Mn3GaPd6
_chemical_formula_sum 'Mn6 Ga2 Pd12'
_symmetry_space_group_name_H-M 'P 1 21/m 1'
_symmetry_Int_Tables_number 11
_symmetry_space_group_name_Hall '-P 2yb'
_cell_length_a 7.4288
_cell_length_b 4.5165
_cell_length_c 9.6048
_cell_angle_alpha 90.00
_cell_angle_beta 110.29
_cell_angle_gamma 90.00
loop_
_atom_site_label
_atom_site_type_symbol
_atom_site_fract_x
_atom_site_fract_y
_atom_site_fract_z
_atom_site_occupancy
Mn1 Mn 0.0355 0.2500 0.3817 1
Mn2 Mn 0.1288 0.7500 0.2110 1
Mn3 Mn 0.2779 0.2500 0.9858 1
Ga1 Ga 0.4509 0.2500 0.5915 1
Pd1 Pd 0.0370 0.7500 0.9182 1
Pd2 Pd 0.1580 0.2500 0.6781 1
Pd3 Pd 0.2540 0.7500 0.5049 1
Pd4 Pd 0.3467 0.7500 0.8223 1
Pd5 Pd 0.3500 0.2500 0.3008 1
Pd6 Pd 0.4283 0.7500 0.1291 1
```



This record from Alexandria via LeMat-Bulk describes a relaxed Mn2GaPd4 crystal. The functional is GGA-PBE.

- D(E_F): 0.451 states/eV per atom
- Volume: 218 Å³ per cell
- Total moment: 17.34 μB per cell
- Energy relative to the lowest polymorph listed for this composition: 57 meV per atom
- ΔH_f (0 K): -1.43 eV per formula unit

Structure (CIF):
```
data_Mn2GaPd4
_chemical_formula_sum 'Mn4 Ga2 Pd8'
_symmetry_space_group_name_H-M 'C 1 2/m 1'
_symmetry_Int_Tables_number 12
_symmetry_space_group_name_Hall '-C 2y'
_cell_length_a 13.3511
_cell_length_b 2.8459
_cell_length_c 6.4847
_cell_angle_alpha 90.00
_cell_angle_beta 117.67
_cell_angle_gamma 90.00
loop_
_atom_site_label
_atom_site_type_symbol
_atom_site_fract_x
_atom_site_fract_y
_atom_site_fract_z
_atom_site_occupancy
Mn1 Mn 0.2296 0.0000 0.1768 1
Ga1 Ga 0.0000 0.0000 0.0000 1
Pd1 Pd 0.0884 0.0000 0.7283 1
Pd2 Pd 0.1247 0.5000 0.3719 1
```



This record from Alexandria via LeMat-Bulk describes a relaxed MnGa2Pd2 crystal. The functional is GGA-PBE.

- D(E_F): 0.631 states/eV per atom
- Volume: 155 Å³ per cell
- Total moment: 8.14 μB per cell
- ΔH_f (0 K): -1.70 eV per formula unit

Structure (CIF):
```
data_MnGa2Pd2
_chemical_formula_sum 'Mn2 Ga4 Pd4'
_symmetry_space_group_name_H-M 'P 4/m b m'
_symmetry_Int_Tables_number 127
_symmetry_space_group_name_Hall '-P 4 2ab'
_cell_length_a 7.1191
_cell_length_b 7.1191
_cell_length_c 3.0649
_cell_angle_alpha 90.00
_cell_angle_beta 90.00
_cell_angle_gamma 90.00
loop_
_atom_site_label
_atom_site_type_symbol
_atom_site_fract_x
_atom_site_fract_y
_atom_site_fract_z
_atom_site_occupancy
Mn1 Mn 0.0000 0.0000 0.0000 1
Ga1 Ga 0.1398 0.3602 0.0000 1
Pd1 Pd 0.1589 0.6589 0.5000 1
```



This record from Alexandria via LeMat-Bulk describes a relaxed Mn2Ga3Pd8 crystal. The functional is GGA-PBE.

- D(E_F): 0.491 states/eV per atom
- Volume: 409 Å³ per cell
- Total moment: 16.69 μB per cell
- ΔH_f (0 K): -4.39 eV per formula unit

Structure (CIF):
```
data_Mn2Ga3Pd8
_chemical_formula_sum 'Mn4 Ga6 Pd16'
_symmetry_space_group_name_H-M 'C 1 2/m 1'
_symmetry_Int_Tables_number 12
_symmetry_space_group_name_Hall '-C 2y'
_cell_length_a 10.5668
_cell_length_b 8.9153
_cell_length_c 4.5399
_cell_angle_alpha 90.00
_cell_angle_beta 107.13
_cell_angle_gamma 90.00
loop_
_atom_site_label
_atom_site_type_symbol
_atom_site_fract_x
_atom_site_fract_y
_atom_site_fract_z
_atom_site_occupancy
Mn1 Mn 0.1959 0.0000 0.3548 1
Ga1 Ga 0.0000 0.2475 0.0000 1
Ga2 Ga 0.0000 0.5000 0.5000 1
Pd1 Pd 0.0734 0.0000 0.7944 1
Pd2 Pd 0.1434 0.2697 0.6070 1
Pd3 Pd 0.1441 0.5000 0.0836 1
```



This record from Alexandria via LeMat-Bulk describes a relaxed MnGa2Pd7 crystal. The functional is GGA-PBE.

- D(E_F): 0.605 states/eV per atom
- Volume: 346 Å³ per cell
- Total moment: 9.22 μB per cell
- ΔH_f (0 K): -1.06 eV per formula unit

Structure (CIF):
```
data_MnGa2Pd7
_chemical_formula_sum 'Mn2 Ga4 Pd14'
_symmetry_space_group_name_H-M 'C m m m'
_symmetry_Int_Tables_number 65
_symmetry_space_group_name_Hall '-C 2 2'
_cell_length_a 8.0664
_cell_length_b 15.2852
_cell_length_c 2.8101
_cell_angle_alpha 90.00
_cell_angle_beta 90.00
_cell_angle_gamma 90.00
loop_
_atom_site_label
_atom_site_type_symbol
_atom_site_fract_x
_atom_site_fract_y
_atom_site_fract_z
_atom_site_occupancy
Mn1 Mn 0.0000 0.0000 0.0000 1
Ga1 Ga 0.0000 0.3360 0.5000 1
Pd1 Pd 0.0000 0.2029 0.0000 1
Pd2 Pd 0.0000 0.5000 0.5000 1
Pd3 Pd 0.2130 0.0949 0.5000 1
```



This record from Alexandria via LeMat-Bulk describes a relaxed MnGaPd2 crystal. The functional is GGA-PBE.

- D(E_F): 0.788 states/eV per atom
- Volume: 131 Å³ per cell
- Total moment: 7.99 μB per cell
- ΔH_f (0 K): 0.26 eV per formula unit

Structure (CIF):
```
data_MnGaPd2
_chemical_formula_sum 'Mn2 Ga2 Pd4'
_symmetry_space_group_name_H-M 'I m m m'
_symmetry_Int_Tables_number 71
_symmetry_space_group_name_Hall '-I 2 2'
_cell_length_a 2.7576
_cell_length_b 4.6609
_cell_length_c 10.1774
_cell_angle_alpha 90.00
_cell_angle_beta 90.00
_cell_angle_gamma 90.00
loop_
_atom_site_label
_atom_site_type_symbol
_atom_site_fract_x
_atom_site_fract_y
_atom_site_fract_z
_atom_site_occupancy
Mn1 Mn 0.0000 0.0000 0.0000 1
Ga1 Ga 0.0000 0.0000 0.5000 1
Pd1 Pd 0.0000 0.0000 0.2520 1
```



This record from Alexandria via LeMat-Bulk describes a relaxed MnGa2Pd3 crystal. The functional is GGA-PBE.

- D(E_F): 0.415 states/eV per atom
- Volume: 180 Å³ per cell
- Total moment: 8.56 μB per cell
- Energy relative to the lowest polymorph listed for this composition: 0 meV per atom
- ΔH_f (0 K): -2.84 eV per formula unit

Structure (CIF):
```
data_MnGa2Pd3
_chemical_formula_sum 'Mn2 Ga4 Pd6'
_symmetry_space_group_name_H-M 'P 1 2/m 1'
_symmetry_Int_Tables_number 10
_symmetry_space_group_name_Hall '-P 2y'
_cell_length_a 4.3766
_cell_length_b 6.2542
_cell_length_c 6.8859
_cell_angle_alpha 90.00
_cell_angle_beta 107.69
_cell_angle_gamma 90.00
loop_
_atom_site_label
_atom_site_type_symbol
_atom_site_fract_x
_atom_site_fract_y
_atom_site_fract_z
_atom_site_occupancy
Mn1 Mn 0.1666 0.0000 0.3343 1
Ga1 Ga 0.1677 0.5000 0.3374 1
Ga2 Ga 0.5000 0.0000 0.0000 1
Ga3 Ga 0.5000 0.5000 0.0000 1
Pd1 Pd 0.0000 0.2583 0.0000 1
Pd2 Pd 0.3365 0.2564 0.6707 1
```



This record from Alexandria via LeMat-Bulk describes a relaxed Mn2GaPd4 crystal. The functional is GGA-PBE.

- D(E_F): 0.225 states/eV per atom
- Volume: 229 Å³ per cell
- Total moment: 18.46 μB per cell
- Energy relative to the lowest polymorph listed for this composition: 0 meV per atom
- ΔH_f (0 K): -1.83 eV per formula unit

Structure (CIF):
```
data_Mn2GaPd4
_chemical_formula_sum 'Mn4 Ga2 Pd8'
_symmetry_space_group_name_H-M 'C m m m'
_symmetry_Int_Tables_number 65
_symmetry_space_group_name_Hall '-C 2 2'
_cell_length_a 7.1350
_cell_length_b 7.7471
_cell_length_c 4.1350
_cell_angle_alpha 90.00
_cell_angle_beta 90.00
_cell_angle_gamma 90.00
loop_
_atom_site_label
_atom_site_type_symbol
_atom_site_fract_x
_atom_site_fract_y
_atom_site_fract_z
_atom_site_occupancy
Mn1 Mn 0.0000 0.2081 0.0000 1
Ga1 Ga 0.0000 0.5000 0.5000 1
Pd1 Pd 0.2119 0.5000 0.0000 1
Pd2 Pd 0.2500 0.2500 0.5000 1
```



This record from Alexandria via LeMat-Bulk describes a relaxed MnGaPd crystal. The functional is GGA-PBE.

- D(E_F): 0.556 states/eV per atom
- Volume: 46 Å³ per cell
- Total moment: 3.94 μB per cell
- ΔH_f (0 K): -0.87 eV per formula unit

Structure (CIF):
```
data_MnGaPd
_chemical_formula_sum 'Mn1 Ga1 Pd1'
_symmetry_space_group_name_H-M 'P -6 m 2'
_symmetry_Int_Tables_number 187
_symmetry_space_group_name_Hall 'P -6 2'
_cell_length_a 4.3142
_cell_length_b 4.3142
_cell_length_c 2.8344
_cell_angle_alpha 90.00
_cell_angle_beta 90.00
_cell_angle_gamma 120.00
loop_
_atom_site_label
_atom_site_type_symbol
_atom_site_fract_x
_atom_site_fract_y
_atom_site_fract_z
_atom_site_occupancy
Mn1 Mn 0.0000 0.0000 0.0000 1
Ga1 Ga 0.6667 0.3333 0.5000 1
Pd1 Pd 0.3333 0.6667 0.5000 1
```



This record from Alexandria via LeMat-Bulk describes a relaxed Mn2GaPd8 crystal. The functional is GGA-PBE.

- D(E_F): 0.605 states/eV per atom
- Volume: 341 Å³ per cell
- Total moment: 18.11 μB per cell
- Energy relative to the lowest polymorph listed for this composition: 0 meV per atom
- ΔH_f (0 K): -2.63 eV per formula unit

Structure (CIF):
```
data_Mn2GaPd8
_chemical_formula_sum 'Mn4 Ga2 Pd16'
_symmetry_space_group_name_H-M 'I m m m'
_symmetry_Int_Tables_number 71
_symmetry_space_group_name_Hall '-I 2 2'
_cell_length_a 4.2607
_cell_length_b 7.0990
_cell_length_c 11.2854
_cell_angle_alpha 90.00
_cell_angle_beta 90.00
_cell_angle_gamma 90.00
loop_
_atom_site_label
_atom_site_type_symbol
_atom_site_fract_x
_atom_site_fract_y
_atom_site_fract_z
_atom_site_occupancy
Mn1 Mn 0.0000 0.0000 0.2023 1
Ga1 Ga 0.0000 0.0000 0.5000 1
Pd1 Pd 0.0000 0.1864 0.0000 1
Pd2 Pd 0.0000 0.2852 0.3473 1
Pd3 Pd 0.0000 0.5000 0.1399 1
```